# 1
DFT (PBE) results for BC after structural relaxation.

abc: 7.0667 7.2083 7.2083
angles: 159.10 139.73 45.90
Element x y z (fractional)
B  0.4960  0.1678  0.3283
B  0.9665  0.3384  0.6281
B  0.9705  0.6407  0.3298
B  0.1676  0.8063  0.3613
B  0.5429  0.9479  0.5950
B  0.0971  0.0147  0.0824
C  0.1395  0.4609  0.6786
C  0.6301  0.6191  0.0110
C  0.6150  0.2947  0.3204
C  0.1238  0.1263  0.9975
C  0.5029  0.8294  0.6735
C  0.4981  0.5039  0.9942

* energy above the lowest structure with this stoichiometry: 222.5 meV/atom

***

# 2
DFT (PBE) results for B7C5 after structural relaxation.

abc: 2.5274 4.3682 7.5082
angles: 90.00 90.00 90.00
Element x y z (fractional)
B  0.0000  0.2852  0.8268
B  0.0000  0.9630  0.3413
B  0.5000  0.5464  0.1667
B  0.0000  0.2440  0.1667
B  0.0000  0.9741  0.6667
B  0.0000  0.9630  0.9920
B  0.0000  0.2852  0.5065
C  0.5000  0.7289  0.9882
C  0.5000  0.7219  0.6667
C  0.5000  0.5298  0.5026
C  0.5000  0.5298  0.8307
C  0.5000  0.7289  0.3451

* energy above the lowest structure with this stoichiometry: 228.2 meV/atom

***

# 3
DFT (PBE) results for B7C5 after structural relaxation.

abc: 2.5584 2.5584 14.4086
angles: 90.00 90.00 120.00
Element x y z (fractional)
C  0.3333  0.6667  0.0382
C  0.0000  0.0000  0.0053
C  0.6667  0.3333  0.1975
C  0.3333  0.6667  0.6779
C  0.6667  0.3333  0.7138
B  0.0000  0.0000  0.8947
B  0.0000  0.0000  0.3785
B  0.6667  0.3333  0.8240
B  0.3333  0.6667  0.5676
B  0.0000  0.0000  0.4950
B  0.3333  0.6667  0.1529
B  0.6667  0.3333  0.3045

* energy above the lowest structure with this stoichiometry: 274.2 meV/atom

***

# 4
DFT (PBE) results for B7C5 after structural relaxation.

abc: 7.2794 7.7303 7.7303
angles: 160.46 143.42 42.11
Element x y z (fractional)
C  0.6413  0.9632  0.6781
C  0.5189  0.4961  0.0228
C  0.9903  0.6794  0.3109
C  0.0971  0.7888  0.3083
C  0.1526  0.4525  0.7000
B  0.6298  0.6099  0.0199
B  0.5737  0.2790  0.2947
B  0.4931  0.8478  0.6454
B  0.1233  0.1588  0.9645
B  0.9929  0.9735  0.0194
B  0.4803  0.1619  0.3184
B  0.0566  0.3391  0.7175

* energy above the lowest structure with this stoichiometry: 287.4 meV/atom

***

What are the raw total energy values for these records? In order: -7.5773; -7.3459; -7.2999; -7.2866 eV/atom.
What are the E_form values for these records? In order: 0.747; 4.711; 5.263; 5.422 eV/f.u..